No. 1
A geometry-optimized PaCuPd2 structure, computed with GGA-PBE.

Results
density = 12.063 g/cm³
D(E_F) = 4.601 states/eV per cell
energy = -24.29 eV/cell
total moment = 0.0 Bohr magnetons per cell
formation energy = -0.078 eV per atom

Cell lengths 2.983, 2.983, 9.228 Å; angles 80.70, 80.70, 60.00 degrees
Element x y z (fractional)
1 Pa 0.500 0.500 0.500
2 Cu 0.000 0.000 0.000
3 Pd 0.742 0.742 0.774
4 Pd 0.258 0.258 0.226


No. 2
A geometry-optimized Pa2Cu3Pd8 structure, computed with GGA-PBE.

Results
density = 11.057 g/cm³
D(E_F) = 4.713 states/eV per cell
energy = -76.88 eV/cell
total moment = 0.0 Bohr magnetons per cell
formation energy = -0.312 eV per atom

Cell lengths 5.428, 6.924, 6.974 Å; angles 119.77, 96.02, 90.00 degrees
Element x y z (fractional)
1 Pa 0.250 0.213 0.425
2 Pa 0.750 0.787 0.575
3 Cu 0.500 0.000 0.000
4 Cu 0.000 0.173 0.000
5 Cu 0.000 0.827 0.000
6 Pd 0.897 0.597 0.194
7 Pd 0.103 0.403 0.806
8 Pd 0.763 0.198 0.395
9 Pd 0.237 0.802 0.605
10 Pd 0.586 0.585 0.788
11 Pd 0.586 0.202 0.788
12 Pd 0.414 0.798 0.212
13 Pd 0.414 0.415 0.212


No. 3
A geometry-optimized PaCuPd3 structure, computed with GGA-PBE.

Results
density = 11.312 g/cm³
D(E_F) = 10.516 states/eV per cell
energy = -124.22 eV/cell
total moment = 0.0 Bohr magnetons per cell
formation energy = -0.377 eV per atom

Cell lengths 5.338, 8.676, 7.782 Å; angles 90.00, 90.00, 90.00 degrees
Element x y z (fractional)
1 Pa 0.500 0.504 0.750
2 Pa 0.000 0.004 0.250
3 Pa 0.500 0.496 0.250
4 Pa 0.000 0.996 0.750
5 Cu 0.000 0.500 0.000
6 Cu 0.500 0.000 0.500
7 Cu 0.500 0.000 0.000
8 Cu 0.000 0.500 0.500
9 Pd 0.796 0.230 0.057
10 Pd 0.704 0.730 0.557
11 Pd 0.704 0.730 0.943
12 Pd 0.204 0.770 0.557
13 Pd 0.204 0.770 0.943
14 Pd 0.296 0.270 0.443
15 Pd 0.296 0.270 0.057
16 Pd 0.796 0.230 0.443
17 Pd 0.026 0.318 0.750
18 Pd 0.474 0.818 0.250
19 Pd 0.974 0.682 0.250
20 Pd 0.526 0.182 0.750


No. 4
A geometry-optimized PaCuPd2 structure, computed with GGA-PBE.

Results
density = 11.635 g/cm³
D(E_F) = 5.866 states/eV per cell
energy = -24.95 eV/cell
total moment = 0.6 Bohr magnetons per cell
formation energy = -0.243 eV per atom

Cell lengths 3.504, 4.546, 4.546 Å; angles 90.00, 90.00, 90.00 degrees
Each line ends with the local moment (μB).
Element x y z (fractional)
1 Pa 0.500 0.500 0.500  0.50
2 Cu 0.500 0.000 0.000  0.03
3 Pd 0.000 0.000 0.500  0.01
4 Pd 0.000 0.500 0.000  0.01


No. 5
A geometry-optimized PaCu4Pd8 structure, computed with GGA-PBE.

Results
density = 11.144 g/cm³
D(E_F) = 4.429 states/eV per cell
energy = -71.51 eV/cell
total moment = 0.0 Bohr magnetons per cell
formation energy = -0.314 eV per atom

Cell lengths 5.068, 6.762, 6.762 Å; angles 81.93, 67.99, 67.99 degrees
Element x y z (fractional)
1 Pa 0.000 0.000 0.000
2 Cu 0.000 0.000 0.500
3 Cu 0.500 0.000 0.500
4 Cu 0.000 0.500 0.000
5 Cu 0.500 0.500 0.000
6 Pd 0.000 0.340 0.660
7 Pd 0.000 0.660 0.340
8 Pd 0.340 0.660 0.660
9 Pd 0.660 0.340 0.340
10 Pd 0.500 0.784 0.216
11 Pd 0.500 0.216 0.784
12 Pd 0.284 0.216 0.216
13 Pd 0.716 0.784 0.784


No. 6
A geometry-optimized PaCu2Pd2 structure, computed with GGA-PBE.

Results
density = 11.235 g/cm³
D(E_F) = 10.500 states/eV per cell
energy = -58.30 eV/cell
total moment = 1.3 Bohr magnetons per cell
formation energy = -0.215 eV per atom

Cell lengths 3.179, 4.423, 12.005 Å; angles 90.03, 90.00, 90.00 degrees
Each line ends with the local moment (μB).
Element x y z (fractional)
1 Pa 0.250 0.749 0.252  0.56
2 Pa 0.750 0.251 0.748  0.56
3 Cu 0.250 0.750 0.642  0.01
4 Cu 0.750 0.250 0.358  0.01
5 Cu 0.250 0.251 0.975  0.00
6 Cu 0.750 0.749 0.025  0.00
7 Pd 0.250 0.751 0.852  0.00
8 Pd 0.750 0.249 0.148  0.00
9 Pd 0.250 0.250 0.535  0.00
10 Pd 0.750 0.750 0.465  0.00